# 1
# GaGeRh4

An optimized crystal structure of GaGeRh4 (PBE, Alexandria via LeMat-Bulk).

```
data_GaGeRh4
_cell_length_a 4.0796
_cell_length_b 4.0796
_cell_length_c 5.7748
_cell_angle_alpha 90.00
_cell_angle_beta 90.00
_cell_angle_gamma 90.00
_space_group_name_H-M_alt 'P 4/m m m'
_space_group_IT_number 123
_space_group_name_Hall '-P 4 2'
loop_
_atom_site_label
_atom_site_fract_x
_atom_site_fract_y
_atom_site_fract_z
_atom_site_occupancy
Ga1 0.0000 0.0000 0.0000 1
Ge1 0.5000 0.5000 0.5000 1
Rh1 0.0000 0.5000 0.2534 1
```

VASP energy = -6.44 eV/atom
Fermi-level density of states = 5.98 states/eV/f.u.
DFT formation energy = -0.264 eV per atom

=====

# 2
# KSc2Rh

An optimized crystal structure of KSc2Rh (PBE, Alexandria via LeMat-Bulk).

```
data_KSc2Rh
_cell_length_a 3.3759
_cell_length_b 3.4563
_cell_length_c 20.1690
_cell_angle_alpha 90.00
_cell_angle_beta 90.00
_cell_angle_gamma 90.00
_space_group_name_H-M_alt 'I m m 2'
_space_group_IT_number 44
loop_
_space_group_symop_operation_xyz
'x,y,z'
'-x,-y,z'
'-x,y,z'
'x,-y,z'
'x+1/2,y+1/2,z+1/2'
'-x+1/2,-y+1/2,z+1/2'
'-x+1/2,y+1/2,z+1/2'
'x+1/2,-y+1/2,z+1/2'
loop_
_atom_site_label
_atom_site_fract_x
_atom_site_fract_y
_atom_site_fract_z
_atom_site_occupancy
K1 0.0000 0.0000 0.0000 1
Sc1 0.0000 0.0000 0.6674 1
Sc2 0.0000 0.5000 0.3199 1
Rh1 0.0000 0.5000 0.7612 1
```

distance to the lowest polymorph of the same formula = 0.143 eV per atom
VASP energy = -5.38 eV/atom
Fermi-level density of states = 3.44 states/eV/f.u.
DFT formation energy = -0.097 eV per atom

=====

# 3
# La6Nd8Sm

An optimized crystal structure of La6Nd8Sm (PBE, Alexandria via LeMat-Bulk).

```
data_La6Nd8Sm
_cell_length_a 9.3841
_cell_length_b 9.3841
_cell_length_c 21.3431
_cell_angle_alpha 90.00
_cell_angle_beta 90.00
_cell_angle_gamma 120.00
_space_group_name_H-M_alt 'R -3'
_space_group_IT_number 148
_space_group_name_Hall '-R 3'
loop_
_atom_site_label
_atom_site_fract_x
_atom_site_fract_y
_atom_site_fract_z
_atom_site_occupancy
La1 0.0515 0.2467 0.2094 1
Nd1 0.0000 0.0000 0.0772 1
Nd2 0.0798 0.5660 0.3068 1
Sm1 0.0000 0.0000 0.5000 1
```

VASP energy = -4.73 eV/atom
Fermi-level density of states = 25.12 states/eV/f.u.
DFT formation energy = 0.099 eV per atom

=====

# 4
# Tb5Se4N

An optimized crystal structure of Tb5Se4N (PBE, Alexandria via LeMat-Bulk).

```
data_Tb5Se4N
_cell_length_a 3.9767
_cell_length_b 3.9767
_cell_length_c 28.7307
_cell_angle_alpha 90.00
_cell_angle_beta 90.00
_cell_angle_gamma 90.00
_space_group_name_H-M_alt 'I 4/m m m'
_space_group_IT_number 139
_space_group_name_Hall '-I 4 2'
loop_
_atom_site_label
_atom_site_fract_x
_atom_site_fract_y
_atom_site_fract_z
_atom_site_occupancy
Tb1 0.0000 0.0000 0.0000 1
Tb2 0.0000 0.0000 0.2065 1
Tb3 0.0000 0.0000 0.4204 1
Se1 0.0000 0.0000 0.1001 1
Se2 0.0000 0.0000 0.3083 1
N1 0.0000 0.0000 0.5000 1
```

VASP energy = -6.22 eV/atom
Fermi-level density of states = 3.53 states/eV/f.u.
raw formation energy = -1.683 eV/atom

=====

# 5
# Al3AgSe

An optimized crystal structure of Al3AgSe (PBE, Alexandria via LeMat-Bulk).

```
data_Al3AgSe
_cell_length_a 4.9978
_cell_length_b 4.9978
_cell_length_c 4.9978
_cell_angle_alpha 90.00
_cell_angle_beta 90.00
_cell_angle_gamma 90.00
_space_group_name_H-M_alt 'P m -3 m'
_space_group_IT_number 221
_space_group_name_Hall '-P 4 2 3'
loop_
_atom_site_label
_atom_site_fract_x
_atom_site_fract_y
_atom_site_fract_z
_atom_site_occupancy
Al1 0.0000 0.0000 0.5000 1
Ag1 0.5000 0.5000 0.5000 1
Se1 0.0000 0.0000 0.0000 1
```

distance to the lowest polymorph of the same formula = 0.375 eV per atom
VASP energy = -2.86 eV/atom
Fermi-level density of states = 1.64 states/eV/f.u.
raw formation energy = 0.652 eV/atom

=====

# 6
# La2NdSc2In5

An optimized crystal structure of La2NdSc2In5 (PBE, Alexandria via LeMat-Bulk).

```
data_La2NdSc2In5
_cell_length_a 10.8183
_cell_length_b 10.8183
_cell_length_c 4.6981
_cell_angle_alpha 90.00
_cell_angle_beta 90.00
_cell_angle_gamma 90.00
_space_group_name_H-M_alt 'P 4/m b m'
_space_group_IT_number 127
_space_group_name_Hall '-P 4 2ab'
loop_
_atom_site_label
_atom_site_fract_x
_atom_site_fract_y
_atom_site_fract_z
_atom_site_occupancy
La1 0.1786 0.3214 0.0000 1
Nd1 0.0000 0.0000 0.0000 1
Sc1 0.1181 0.6181 0.0000 1
In1 0.0000 0.5000 0.5000 1
In2 0.0641 0.7938 0.5000 1
```

VASP energy = -4.51 eV/atom
Fermi-level density of states = 10.07 states/eV/f.u.
DFT formation energy = -0.412 eV per atom

=====

# 7
# NdPdPtRh

An optimized crystal structure of NdPdPtRh (PBE, Alexandria via LeMat-Bulk).

```
data_NdPdPtRh
_cell_length_a 6.6580
_cell_length_b 6.6580
_cell_length_c 6.6580
_cell_angle_alpha 90.00
_cell_angle_beta 90.00
_cell_angle_gamma 90.00
_space_group_name_H-M_alt 'F -4 3 m'
_space_group_IT_number 216
_space_group_name_Hall 'F -4 2 3'
loop_
_atom_site_label
_atom_site_fract_x
_atom_site_fract_y
_atom_site_fract_z
_atom_site_occupancy
Nd1 0.0000 0.0000 0.0000 1
Pd1 0.2500 0.2500 0.7500 1
Pt1 0.0000 0.0000 0.5000 1
Rh1 0.2500 0.2500 0.2500 1
```

VASP energy = -6.32 eV/atom
Fermi-level density of states = 1.89 states/eV/f.u.
DFT formation energy = -0.477 eV per atom

=====

# 8
# FeGe2

An optimized crystal structure of FeGe2 (PBE, Alexandria via LeMat-Bulk).

```
data_FeGe2
_cell_length_a 10.5527
_cell_length_b 8.1135
_cell_length_c 8.2497
_cell_angle_alpha 90.00
_cell_angle_beta 90.00
_cell_angle_gamma 90.00
_space_group_name_H-M_alt 'C m c e'
_space_group_IT_number 64
_space_group_name_Hall '-C 2ac 2'
loop_
_atom_site_label
_atom_site_fract_x
_atom_site_fract_y
_atom_site_fract_z
_atom_site_occupancy
Fe1 0.0000 0.1974 0.1886 1
Fe2 0.2184 0.0000 0.0000 1
Ge1 0.1263 0.0390 0.7314 1
Ge2 0.1272 0.2282 0.4566 1
```

VASP energy = -5.91 eV/atom
Fermi-level density of states = 0.71 states/eV/f.u.
DFT formation energy = -0.008 eV per atom

=====

# 9
# CePmSc2In4

An optimized crystal structure of CePmSc2In4 (PBE, Alexandria via LeMat-Bulk).

```
data_CePmSc2In4
_cell_length_a 5.2542
_cell_length_b 5.2542
_cell_length_c 25.8330
_cell_angle_alpha 90.00
_cell_angle_beta 90.00
_cell_angle_gamma 120.00
_space_group_name_H-M_alt 'R -3 m'
_space_group_IT_number 166
_space_group_name_Hall '-R 3 2"'
loop_
_atom_site_label
_atom_site_fract_x
_atom_site_fract_y
_atom_site_fract_z
_atom_site_occupancy
Ce1 0.0000 0.0000 0.0000 1
Pm1 0.0000 0.0000 0.5000 1
Sc1 0.0000 0.0000 0.2501 1
In1 0.0000 0.0000 0.1253 1
In2 0.0000 0.0000 0.3754 1
```

VASP energy = -4.69 eV/atom
Fermi-level density of states = 8.80 states/eV/f.u.
DFT formation energy = -0.404 eV per atom

=====

# 10
# ZnIrOs2

An optimized crystal structure of ZnIrOs2 (PBE, Alexandria via LeMat-Bulk).

```
data_ZnIrOs2
_cell_length_a 2.7670
_cell_length_b 2.7670
_cell_length_c 7.4939
_cell_angle_alpha 90.00
_cell_angle_beta 90.00
_cell_angle_gamma 90.00
_space_group_name_H-M_alt 'P 4 m m'
_space_group_IT_number 99
loop_
_space_group_symop_operation_xyz
'x,y,z'
'-y,x,z'
'-x,-y,z'
'y,-x,z'
'-x,y,z'
'y,x,z'
'x,-y,z'
'-y,-x,z'
loop_
_atom_site_label
_atom_site_fract_x
_atom_site_fract_y
_atom_site_fract_z
_atom_site_occupancy
Zn1 0.0000 0.0000 0.0000 1
Ir1 0.5000 0.5000 0.2516 1
Os1 0.0000 0.0000 0.5039 1
Os2 0.5000 0.5000 0.7428 1
```

VASP energy = -8.09 eV/atom
Fermi-level density of states = 3.37 states/eV/f.u.
DFT formation energy = 0.059 eV per atom

=====

# 11
# ZrBe8Rh3

An optimized crystal structure of ZrBe8Rh3 (PBE, Alexandria via LeMat-Bulk).

```
data_ZrBe8Rh3
_cell_length_a 4.4483
_cell_length_b 4.4483
_cell_length_c 7.3348
_cell_angle_alpha 90.00
_cell_angle_beta 90.00
_cell_angle_gamma 120.00
_space_group_name_H-M_alt 'P 3 m 1'
_space_group_IT_number 156
loop_
_space_group_symop_operation_xyz
'x,y,z'
'-y,x-y,z'
'-x+y,-x,z'
'-y,-x,z'
'-x+y,y,z'
'x,x-y,z'
loop_
_atom_site_label
_atom_site_fract_x
_atom_site_fract_y
_atom_site_fract_z
_atom_site_occupancy
Zr1 0.0000 0.0000 0.0000 1
Be1 0.1660 0.3320 0.6753 1
Be2 0.3333 0.6667 0.4430 1
Be3 0.3333 0.6667 0.9301 1
Be4 0.5025 0.0049 0.2098 1
Rh1 0.0000 0.0000 0.3639 1
Rh2 0.6667 0.3333 0.5054 1
Rh3 0.6667 0.3333 0.8818 1
```

VASP energy = -5.50 eV/atom
Fermi-level density of states = 4.96 states/eV/f.u.
DFT formation energy = -0.464 eV per atom

=====

# 12
# NaSrAgPt2

An optimized crystal structure of NaSrAgPt2 (PBE, Alexandria via LeMat-Bulk).

```
data_NaSrAgPt2
_cell_length_a 5.4893
_cell_length_b 5.4893
_cell_length_c 5.4942
_cell_angle_alpha 90.00
_cell_angle_beta 90.00
_cell_angle_gamma 90.00
_space_group_name_H-M_alt 'P 4/m m m'
_space_group_IT_number 123
_space_group_name_Hall '-P 4 2'
loop_
_atom_site_label
_atom_site_fract_x
_atom_site_fract_y
_atom_site_fract_z
_atom_site_occupancy
Na1 0.0000 0.0000 0.0000 1
Sr1 0.0000 0.0000 0.5000 1
Ag1 0.5000 0.5000 0.0000 1
Pt1 0.0000 0.5000 0.5000 1
```

VASP energy = -2.60 eV/atom
Fermi-level density of states = 2.18 states/eV/f.u.
DFT formation energy = 0.989 eV per atom